A plane-wave DFT calculation with PBE was carried out for a relaxed structure of Zr2TlPt9.

Lattice parameters (Å, degrees): 4.062 4.062 12.240 90.00 90.00 90.00
Element x y z (fractional)
Zr 0.000 0.000 0.168
Zr 0.000 0.000 0.832
Tl 0.000 0.000 0.500
Pt 0.000 0.500 0.000
Pt 0.000 0.500 0.326
Pt 0.000 0.500 0.674
Pt 0.500 0.000 0.000
Pt 0.500 0.000 0.326
Pt 0.500 0.000 0.674
Pt 0.500 0.500 0.164
Pt 0.500 0.500 0.500
Pt 0.500 0.500 0.836

Its symmetry is P4/mmm (123). The formation energy is -0.75 eV/atom.


A plane-wave DFT calculation with PBE was carried out for a relaxed structure of Zr6TlPt.

Lattice parameters (Å, degrees): 5.554 5.554 5.554 89.95 89.95 89.95
Element x y z (fractional)
Zr 0.000 0.500 0.257
Zr 0.000 0.500 0.743
Zr 0.257 0.000 0.500
Zr 0.500 0.257 0.000
Zr 0.500 0.743 0.000
Zr 0.743 0.000 0.500
Tl 0.000 0.000 0.000
Pt 0.500 0.500 0.500

Its symmetry is R-3 (148). The formation energy is -0.33 eV/atom.


A plane-wave DFT calculation with PBE was carried out for a relaxed structure of Zr6Tl2Pt.

Lattice parameters (Å, degrees): 8.212 8.212 3.482 90.00 90.00 120.00
Element x y z (fractional)
Zr 0.000 0.392 0.000
Zr 0.000 0.744 0.500
Zr 0.256 0.256 0.500
Zr 0.392 0.000 0.000
Zr 0.608 0.608 0.000
Zr 0.744 0.000 0.500
Tl 0.333 0.667 0.500
Tl 0.667 0.333 0.500
Pt 0.000 0.000 0.000

Its symmetry is P-62m (189). The formation energy is -0.31 eV/atom.


A plane-wave DFT calculation with PBE was carried out for a relaxed structure of Zr6Tl3Pt.

Lattice parameters (Å, degrees): 5.995 5.995 7.842 105.47 105.47 61.03
Element x y z (fractional)
Zr 0.107 0.616 0.176
Zr 0.133 0.133 0.423
Zr 0.384 0.893 0.824
Zr 0.616 0.107 0.176
Zr 0.867 0.867 0.577
Zr 0.893 0.384 0.824
Tl 0.376 0.376 0.801
Tl 0.500 0.500 0.500
Tl 0.624 0.624 0.199
Pt 0.000 0.000 0.000

Its symmetry is C2/m (12). The formation energy is 0.01 eV/atom.


A plane-wave DFT calculation with PBE was carried out for a relaxed structure of Zr5TlPt.

Lattice parameters (Å, degrees): 5.964 5.964 11.120 111.45 111.45 65.48
Element x y z (fractional)
Zr 0.021 0.979 0.750
Zr 0.053 0.526 0.806
Zr 0.239 0.460 0.485
Zr 0.460 0.239 0.985
Zr 0.474 0.947 0.694
Zr 0.526 0.053 0.306
Zr 0.540 0.761 0.015
Zr 0.761 0.540 0.515
Zr 0.947 0.474 0.194
Zr 0.979 0.021 0.250
Tl 0.443 0.557 0.250
Tl 0.557 0.443 0.750
Pt 0.000 0.000 0.000
Pt 0.000 0.000 0.500

Its symmetry is C2/c (15). The formation energy is 0.00 eV/atom.


A plane-wave DFT calculation with PBE was carried out for a relaxed structure of ZrTlPt4.

Lattice parameters (Å, degrees): 5.364 5.364 5.364 60.00 60.00 60.00
Element x y z (fractional)
Zr 0.000 0.000 0.000
Tl 0.250 0.250 0.250
Pt 0.124 0.625 0.625
Pt 0.625 0.124 0.625
Pt 0.625 0.625 0.124
Pt 0.625 0.625 0.625

Its symmetry is F-43m (216). The formation energy is -0.47 eV/atom.